Record 1
The following is a DFT calculation (PBE-GGA) of a geometry-optimized La2GaNi4Sn3 structure.

abc: 4.425 4.425 10.218
angles: 90.00 90.00 90.00
Fractional coordinates of all 10 atoms:
1 La 0.500 0.000 0.248
2 La 0.000 0.500 0.752
3 Ga 0.500 0.500 0.500
4 Ni 0.500 0.500 0.000
5 Ni 0.000 0.000 0.000
6 Ni 0.500 0.000 0.624
7 Ni 0.000 0.500 0.376
8 Sn 0.000 0.000 0.500
9 Sn 0.500 0.000 0.873
10 Sn 0.000 0.500 0.127

Properties
Raw total energy in eV/atom: -5.3682
SG: P-4m2, No. 115
Total magnetic moment in μB per formula unit: 0.00
Formation energy from the elements in eV per atom: -0.567
Crystal system: tetragonal
Density of states at the Fermi level in states/eV/atom: 0.72



Record 2
The following is a DFT calculation (PBE-GGA) of a geometry-optimized LiAcGa structure.

abc: 5.074 5.074 5.074
angles: 60.00 60.00 60.00
Fractional coordinates of all 3 atoms:
1 Ac 0.500 0.500 0.500
2 Ga 0.250 0.250 0.250
3 Li 0.000 0.000 0.000

Properties
Raw total energy in eV/atom: -3.1816
SG: F-43m, No. 216
Polymorph energy (0 for the lowest one) in eV/f.u.: 0.47
Total magnetic moment in μB per formula unit: 0.00
Formation energy from the elements in eV per atom: -0.165
Crystal system: cubic
Density of states at the Fermi level in states/eV/atom: 1.01



Record 3
The following is a DFT calculation (PBE-GGA) of a geometry-optimized PmTlPt structure.

abc: 3.880 7.963 13.995
angles: 90.00 90.00 90.00
Fractional coordinates of all 18 atoms:
1 Pm 0.000 0.221 0.951
2 Pm 0.000 0.779 0.049
3 Pm 0.000 0.221 0.549
4 Pm 0.000 0.779 0.451
5 Pm 0.000 0.160 0.250
6 Pm 0.000 0.840 0.750
7 Tl 0.500 0.431 0.113
8 Tl 0.500 0.569 0.887
9 Tl 0.500 0.431 0.387
10 Tl 0.500 0.569 0.613
11 Tl 0.500 0.814 0.250
12 Tl 0.500 0.186 0.750
13 Pt 0.500 0.063 0.095
14 Pt 0.500 0.937 0.905
15 Pt 0.500 0.063 0.405
16 Pt 0.500 0.937 0.595
17 Pt 0.000 0.551 0.250
18 Pt 0.000 0.449 0.750

Properties
Raw total energy in eV/atom: -5.1583
SG: Pmma, No. 51
Polymorph energy (0 for the lowest one) in eV/f.u.: 0.00
Total magnetic moment in μB per formula unit: 0.00
Formation energy from the elements in eV per atom: -0.772
Crystal system: orthorhombic
Density of states at the Fermi level in states/eV/atom: 0.61



Record 4
The following is a DFT calculation (PBE-GGA) of a geometry-optimized Li2CuPb structure.

abc: 4.138 3.898 4.361
angles: 90.00 90.00 90.00
Fractional coordinates of all 4 atoms:
1 Cu 0.000 0.500 0.500
2 Li 0.000 0.000 0.000
3 Li 0.500 0.500 0.000
4 Pb 0.500 0.000 0.500

Properties
Raw total energy in eV/atom: -3.0124
SG: Pmmm, No. 47
Total magnetic moment in μB per formula unit: 0.00
Formation energy from the elements in eV per atom: -0.104
Crystal system: orthorhombic
Density of states at the Fermi level in states/eV/atom: 0.40



- Which of these has the lowest density of states at the Fermi level?
  Li2CuPb



- Which of these has the lowest raw total energy?
  La2GaNi4Sn3



- Which of these has the lowest formation energy from the elements?
  PmTlPt



- Among the records above, which one has the lowest density of states at the Fermi level?
  Li2CuPb